[1]
Density functional theory data (PBE-GGA) for an optimized crystal structure of Zn3Cl.

Cell: 4.820 4.820 3.687 Å, 90.00 90.00 114.33°
Fractional positions:
Zn1 0.000 0.000 0.000
Zn2 0.000 0.500 0.500
Zn3 0.500 0.000 0.500
Cl1 0.500 0.500 0.000

VASP energy	-1.3723	eV per atom
SG	Cmmm, No. 65
energy relative to the elements, uncorrected	45	meV per atom
V	78	Å³/f.u.

---

[2]
Density functional theory data (PBE-GGA) for an optimized crystal structure of ZnCl.

Cell: 3.959 3.959 3.959 Å, 60.00 60.00 60.00°
Fractional positions:
Zn1 0.000 0.000 0.000
Cl1 0.500 0.500 0.500

VASP energy	-1.8065	eV per atom
SG	Fm-3m, No. 225
energy relative to the elements, uncorrected	-246	meV per atom
V	44	Å³/f.u.

---

[3]
Density functional theory data (PBE-GGA) for an optimized crystal structure of ZnCl.

Cell: 6.890 3.739 3.739 Å, 90.00 90.00 90.00°
Fractional positions:
Zn1 0.250 0.000 0.008
Zn2 0.750 0.000 0.992
Cl1 0.250 0.500 0.507
Cl2 0.750 0.500 0.493

VASP energy	-1.8070	eV per atom
SG	Pmma, No. 51
energy relative to the elements, uncorrected	-247	meV per atom
V	48	Å³/f.u.

---

[4]
Density functional theory data (PBE-GGA) for an optimized crystal structure of Zn2Cl.

Cell: 10.009 10.009 10.009 Å, 159.12 159.12 29.70°
Fractional positions:
Zn1 0.297 0.547 0.750
Zn2 0.453 0.703 0.750
Zn3 0.547 0.297 0.250
Zn4 0.703 0.453 0.250
Cl1 0.125 0.875 0.250
Cl2 0.875 0.125 0.750

VASP energy	-1.5453	eV per atom
SG	I4_1/amd, No. 141
energy relative to the elements, uncorrected	-80	meV per atom
V	64	Å³/f.u.

---

[5]
Density functional theory data (PBE-GGA) for an optimized crystal structure of ZnCl4.

Cell: 4.896 4.896 4.896 Å, 90.00 90.00 90.00°
Fractional positions:
Zn1 0.000 0.000 0.000
Cl1 0.000 0.000 0.500
Cl2 0.000 0.500 0.000
Cl3 0.500 0.000 0.000
Cl4 0.500 0.500 0.500

VASP energy	-1.8881	eV per atom
SG	Pm-3m, No. 221
energy relative to the elements, uncorrected	-156	meV per atom
V	117	Å³/f.u.

---

[6]
Density functional theory data (PBE-GGA) for an optimized crystal structure of Zn3Cl.

Cell: 5.427 5.427 5.427 Å, 90.00 90.00 90.00°
Fractional positions:
Zn1 0.000 0.250 0.500
Zn2 0.000 0.750 0.500
Zn3 0.250 0.500 0.000
Zn4 0.500 0.000 0.250
Zn5 0.500 0.000 0.750
Zn6 0.750 0.500 0.000
Cl1 0.000 0.000 0.000
Cl2 0.500 0.500 0.500

VASP energy	-1.2688	eV per atom
SG	Pm-3n, No. 223
energy relative to the elements, uncorrected	148	meV per atom
V	80	Å³/f.u.

---

[7]
Density functional theory data (PBE-GGA) for an optimized crystal structure of Zn2Cl.

Cell: 6.165 6.165 7.502 Å, 110.39 110.39 31.36°
Fractional positions:
Zn1 0.180 0.180 0.368
Zn2 0.293 0.293 0.140
Zn3 0.707 0.707 0.860
Zn4 0.820 0.820 0.632
Cl1 0.489 0.489 0.739
Cl2 0.511 0.511 0.261

VASP energy	-1.7575	eV per atom
SG	C2/m, No. 12
energy relative to the elements, uncorrected	-293	meV per atom
V	69	Å³/f.u.

---

[8]
Density functional theory data (PBE-GGA) for an optimized crystal structure of Zn3Cl.

Cell: 7.738 7.738 7.738 Å, 24.95 24.95 24.95°
Fractional positions:
Zn1 0.000 0.000 0.000
Zn2 0.254 0.254 0.254
Zn3 0.746 0.746 0.746
Cl1 0.500 0.500 0.500

VASP energy	-1.5729	eV per atom
SG	R-3m, No. 166
energy relative to the elements, uncorrected	-156	meV per atom
V	73	Å³/f.u.

---

[9]
Density functional theory data (PBE-GGA) for an optimized crystal structure of Zn2Cl.

Cell: 5.890 5.890 5.890 Å, 128.88 128.88 75.21°
Fractional positions:
Zn1 0.178 0.678 0.856
Zn2 0.322 0.178 0.500
Zn3 0.678 0.822 0.500
Zn4 0.822 0.322 0.144
Cl1 0.250 0.250 0.000
Cl2 0.750 0.750 0.000

VASP energy	-1.6680	eV per atom
SG	I4/mcm, No. 140
energy relative to the elements, uncorrected	-203	meV per atom
V	60	Å³/f.u.

---

[10]
Density functional theory data (PBE-GGA) for an optimized crystal structure of Zn3Cl.

Cell: 4.911 3.407 5.240 Å, 90.00 105.37 90.00°
Fractional positions:
Zn1 0.000 0.000 0.000
Zn2 0.283 0.500 0.795
Zn3 0.717 0.500 0.205
Cl1 0.500 0.000 0.500

VASP energy	-1.4662	eV per atom
SG	P2/m, No. 10
energy relative to the elements, uncorrected	-49	meV per atom
V	85	Å³/f.u.

---

[11]
Density functional theory data (PBE-GGA) for an optimized crystal structure of ZnCl.

Cell: 6.929 6.929 6.929 Å, 109.47 109.47 109.47°
Fractional positions:
Zn1 0.000 0.000 0.236
Zn2 0.000 0.236 0.000
Zn3 0.236 0.000 0.000
Zn4 0.764 0.764 0.764
Cl1 0.000 0.000 0.562
Cl2 0.000 0.562 0.000
Cl3 0.438 0.438 0.438
Cl4 0.562 0.000 0.000

VASP energy	-2.0036	eV per atom
SG	I-43m, No. 217
energy relative to the elements, uncorrected	-443	meV per atom
V	64	Å³/f.u.

---

[12]
Density functional theory data (PBE-GGA) for an optimized crystal structure of Zn2Cl.

Cell: 3.639 3.639 5.238 Å, 90.00 90.00 120.00°
Fractional positions:
Zn1 0.333 0.667 0.139
Zn2 0.667 0.333 0.861
Cl1 0.000 0.000 0.500

VASP energy	-1.7110	eV per atom
SG	P-3m1, No. 164
energy relative to the elements, uncorrected	-246	meV per atom
V	60	Å³/f.u.

---

[13]
Density functional theory data (PBE-GGA) for an optimized crystal structure of Zn2Cl.

Cell: 5.624 3.485 13.260 Å, 90.00 90.00 90.00°
Fractional positions:
Zn1 0.000 0.250 0.077
Zn2 0.000 0.750 0.923
Zn3 0.001 0.250 0.265
Zn4 0.499 0.750 0.765
Zn5 0.500 0.250 0.423
Zn6 0.500 0.750 0.577
Zn7 0.501 0.250 0.235
Zn8 0.999 0.750 0.735
Cl1 0.001 0.750 0.390
Cl2 0.499 0.250 0.890
Cl3 0.501 0.750 0.110
Cl4 0.999 0.250 0.610

VASP energy	-1.7413	eV per atom
SG	Pnma, No. 62
energy relative to the elements, uncorrected	-276	meV per atom
V	65	Å³/f.u.